No. 1
! CaSbPd6 GGA-PBE relaxed; values from VASP
! - polymorph energy (0 for the lowest one) (eV/atom) = 0.286
! - SG = R-3m, No. 166
! - M_tot (μB per atom) = 0.000
! - formation energy without anion corrections (eV per atom) = -0.19
! - final energy (eV per atom) = -4.85
&SYSTEM
  ibrav = 0, nat = 8, ntyp = 3
/
ATOMIC_SPECIES
Pd 106.42 Pd.upf
Sb 121.76 Sb.upf
Ca 40.08 Ca.upf
CELL_PARAMETERS angstrom
-1.2243 -5.2428 1.2484
-0.1974 -3.8173 -3.9916
6.0292 -4.3194 0.0066
ATOMIC_POSITIONS crystal
Pd 0.0710 0.5582 0.2998
Pd 0.9290 0.4418 0.7002
Pd 0.0710 0.0710 0.2998
Pd 0.5582 0.0710 0.2998
Pd 0.9290 0.9290 0.7002
Pd 0.4418 0.9290 0.7002
Sb 0.0000 0.0000 0.0000
Ca 0.5000 0.5000 0.5000

---

No. 2
! Ca3Sb3Pd GGA-PBE relaxed; values from VASP
! - SG = C2/m, No. 12
! - M_tot (μB per atom) = 0.000
! - formation energy without anion corrections (eV per atom) = -0.86
! - final energy (eV per atom) = -4.23
&SYSTEM
  ibrav = 0, nat = 14, ntyp = 3
/
ATOMIC_SPECIES
Ca 40.08 Ca.upf
Sb 121.76 Sb.upf
Pd 106.42 Pd.upf
CELL_PARAMETERS angstrom
-3.3636 -2.5865 1.6673
-2.6532 -3.4600 -4.4875
7.4513 -12.5050 1.8655
ATOMIC_POSITIONS crystal
Ca 0.2452 0.2793 0.2303
Ca 0.4285 0.2287 0.9142
Ca 0.7548 0.7207 0.7697
Ca 0.5715 0.7713 0.0858
Ca 0.5431 0.3041 0.6096
Ca 0.4569 0.6959 0.3904
Sb 0.1415 0.2673 0.4496
Sb 0.8585 0.7327 0.5504
Sb 0.0441 0.1517 0.7601
Sb 0.9559 0.8483 0.2399
Sb 0.8435 0.2352 0.0777
Sb 0.1565 0.7648 0.9223
Pd 0.7643 0.0774 0.3940
Pd 0.2357 0.9226 0.6060

---

No. 3
! CaSb2Pd9 GGA-PBE relaxed; values from VASP
! - SG = P4/mmm, No. 123
! - M_tot (μB per atom) = 0.000
! - formation energy without anion corrections (eV per atom) = -0.44
! - final energy (eV per atom) = -5.19
&SYSTEM
  ibrav = 0, nat = 12, ntyp = 3
/
ATOMIC_SPECIES
Pd 106.42 Pd.upf
Ca 40.08 Ca.upf
Sb 121.76 Sb.upf
CELL_PARAMETERS angstrom
4.0751 0.0000 0.0000
0.0000 4.0751 0.0000
0.0000 0.0000 12.2196
ATOMIC_POSITIONS crystal
Pd 0.5000 0.5000 0.0000
Pd 0.5000 0.0000 0.8244
Pd 0.5000 0.0000 0.1756
Pd 0.5000 0.5000 0.3399
Pd 0.5000 0.0000 0.5000
Pd 0.0000 0.5000 0.1756
Pd 0.0000 0.5000 0.5000
Pd 0.0000 0.5000 0.8244
Pd 0.5000 0.5000 0.6601
Ca 0.0000 0.0000 0.0000
Sb 0.0000 0.0000 0.3302
Sb 0.0000 0.0000 0.6698

---

No. 4
! CaSb2Pd7 GGA-PBE relaxed; values from VASP
! - polymorph energy (0 for the lowest one) (eV/atom) = 0.000
! - SG = I4/mmm, No. 139
! - M_tot (μB per atom) = 0.000
! - formation energy without anion corrections (eV per atom) = -0.47
! - final energy (eV per atom) = -5.13
&SYSTEM
  ibrav = 0, nat = 10, ntyp = 3
/
ATOMIC_SPECIES
Sb 121.76 Sb.upf
Pd 106.42 Pd.upf
Ca 40.08 Ca.upf
CELL_PARAMETERS angstrom
4.0439 0.0000 -0.7781
-0.1497 4.0412 -0.7781
0.1149 0.1193 11.4946
ATOMIC_POSITIONS crystal
Sb 0.6702 0.6702 0.3404
Sb 0.3298 0.3298 0.6596
Pd 0.9044 0.4044 0.8088
Pd 0.7500 0.2500 0.5000
Pd 0.5956 0.0956 0.1912
Pd 0.5000 0.5000 0.0000
Pd 0.4044 0.9044 0.8088
Pd 0.2500 0.7500 0.5000
Pd 0.0956 0.5956 0.1912
Ca 0.0000 0.0000 0.0000

---

No. 5
! CaSbPd GGA-PBE relaxed; values from VASP
! - SG = Imm2, No. 44
! - M_tot (μB per atom) = 0.000
! - formation energy without anion corrections (eV per atom) = -0.92
! - final energy (eV per atom) = -4.69
&SYSTEM
  ibrav = 0, nat = 18, ntyp = 3
/
ATOMIC_SPECIES
Ca 40.08 Ca.upf
Sb 121.76 Sb.upf
Pd 106.42 Pd.upf
CELL_PARAMETERS angstrom
-0.8427 4.5587 0.5542
-4.2883 0.0269 -6.7421
-6.5984 -4.6942 8.9131
ATOMIC_POSITIONS crystal
Ca 0.3337 0.8733 0.6675
Ca 0.6663 0.2058 0.3325
Ca 0.1690 0.6242 0.3380
Ca 0.5000 0.9468 0.0000
Ca 0.8310 0.2862 0.6620
Ca 0.0000 0.5368 0.0000
Sb 0.2336 0.0731 0.4673
Sb 0.4010 0.5543 0.8021
Sb 0.5990 0.7522 0.1979
Sb 0.0679 0.2222 0.1358
Sb 0.7664 0.6058 0.5327
Sb 0.9321 0.0864 0.8642
Pd 0.5692 0.3927 0.1384
Pd 0.7292 0.8957 0.4584
Pd 0.8950 0.7236 0.7900
Pd 0.4308 0.2543 0.8616
Pd 0.1050 0.9336 0.2100
Pd 0.2708 0.4373 0.5416

---

No. 6
! CaSbPd2 GGA-PBE relaxed; values from VASP
! - polymorph energy (0 for the lowest one) (eV/atom) = 0.065
! - SG = R-3m, No. 166
! - M_tot (μB per atom) = 0.000
! - formation energy without anion corrections (eV per atom) = -0.73
! - final energy (eV per atom) = -4.85
&SYSTEM
  ibrav = 0, nat = 4, ntyp = 3
/
ATOMIC_SPECIES
Sb 121.76 Sb.upf
Pd 106.42 Pd.upf
Ca 40.08 Ca.upf
CELL_PARAMETERS angstrom
4.6198 0.0000 0.0000
2.3099 4.0008 0.0000
2.3099 1.3336 4.7171
ATOMIC_POSITIONS crystal
Sb 0.5000 0.5000 0.5000
Pd 0.7925 0.7925 0.6224
Pd 0.2075 0.2075 0.3776
Ca 0.0000 0.0000 0.0000

---

No. 7
! CaSb6Pd12 GGA-PBE relaxed; values from VASP
! - SG = R-3m, No. 166
! - M_tot (μB per atom) = 0.000
! - formation energy without anion corrections (eV per atom) = -0.38
! - final energy (eV per atom) = -5.06
&SYSTEM
  ibrav = 0, nat = 19, ntyp = 3
/
ATOMIC_SPECIES
Pd 106.42 Pd.upf
Sb 121.76 Sb.upf
Ca 40.08 Ca.upf
CELL_PARAMETERS angstrom
7.5776 -0.0495 -0.0697
-1.9263 7.3288 -0.0697
-1.9263 -2.4813 6.8963
ATOMIC_POSITIONS crystal
Pd 0.8807 0.5000 0.1193
Pd 0.3787 0.1313 0.3787
Pd 0.1313 0.3787 0.3787
Pd 0.6213 0.6213 0.8687
Pd 0.3787 0.3787 0.1313
Pd 0.5000 0.8807 0.1193
Pd 0.1193 0.8807 0.5000
Pd 0.8687 0.6213 0.6213
Pd 0.8807 0.1193 0.5000
Pd 0.6213 0.8687 0.6213
Pd 0.5000 0.1193 0.8807
Pd 0.1193 0.5000 0.8807
Sb 0.7333 0.3153 0.7333
Sb 0.7333 0.7333 0.3153
Sb 0.3153 0.7333 0.7333
Sb 0.2667 0.2667 0.6847
Sb 0.2667 0.6847 0.2667
Sb 0.6847 0.2667 0.2667
Ca 0.0000 0.0000 0.0000

---

No. 8
! Ca2SbPd GGA-PBE relaxed; values from VASP
! - SG = I-42d, No. 122
! - M_tot (μB per atom) = 0.000
! - formation energy without anion corrections (eV per atom) = -0.53
! - final energy (eV per atom) = -3.86
&SYSTEM
  ibrav = 0, nat = 8, ntyp = 3
/
ATOMIC_SPECIES
Pd 106.42 Pd.upf
Ca 40.08 Ca.upf
Sb 121.76 Sb.upf
CELL_PARAMETERS angstrom
8.1213 0.0000 0.0000
0.0000 8.1213 0.0000
4.0606 4.0606 3.2949
ATOMIC_POSITIONS crystal
Pd 0.5000 0.5000 0.0000
Pd 0.2500 0.7500 0.5000
Ca 0.3750 0.4083 0.7500
Ca 0.8750 0.8417 0.7500
Ca 0.5917 0.1250 0.2500
Ca 0.1583 0.6250 0.2500
Sb 0.7500 0.2500 0.5000
Sb 0.0000 0.0000 0.0000

---

No. 9
! CaSbPd2 GGA-PBE relaxed; values from VASP
! - polymorph energy (0 for the lowest one) (eV/atom) = 0.653
! - SG = Immm, No. 71
! - M_tot (μB per atom) = 0.000
! - formation energy without anion corrections (eV per atom) = -0.14
! - final energy (eV per atom) = -4.27
&SYSTEM
  ibrav = 0, nat = 4, ntyp = 3
/
ATOMIC_SPECIES
Pd 106.42 Pd.upf
Ca 40.08 Ca.upf
Sb 121.76 Sb.upf
CELL_PARAMETERS angstrom
5.0926 -1.7436 -3.2443
-1.2503 5.2356 3.2443
-3.4690 -0.0429 5.2406
ATOMIC_POSITIONS crystal
Pd 0.0000 0.2613 0.2613
Pd 0.0000 0.7387 0.7387
Ca 0.0000 0.0000 0.0000
Sb 0.0000 0.5000 0.5000

---

No. 10
! CaSb2Pd2 GGA-PBE relaxed; values from VASP
! - SG = P4/mbm, No. 127
! - M_tot (μB per atom) = 0.000
! - formation energy without anion corrections (eV per atom) = -0.47
! - final energy (eV per atom) = -4.59
&SYSTEM
  ibrav = 0, nat = 10, ntyp = 3
/
ATOMIC_SPECIES
Sb 121.76 Sb.upf
Ca 40.08 Ca.upf
Pd 106.42 Pd.upf
CELL_PARAMETERS angstrom
-2.8347 -5.6541 -5.0689
2.0099 -5.7762 5.3191
-3.0001 0.2472 1.4020
ATOMIC_POSITIONS crystal
Sb 0.3494 0.8494 0.0000
Sb 0.6506 0.1506 0.0000
Sb 0.1506 0.3494 0.0000
Sb 0.8494 0.6506 0.0000
Ca 0.0000 0.0000 0.0000
Ca 0.5000 0.5000 0.0000
Pd 0.6420 0.8580 0.5000
Pd 0.3580 0.1420 0.5000
Pd 0.8580 0.3580 0.5000
Pd 0.1420 0.6420 0.5000

---

No. 11
! Ca2SbPd GGA-PBE relaxed; values from VASP
! - SG = P4/mmm, No. 123
! - M_tot (μB per atom) = 0.000
! - formation energy without anion corrections (eV per atom) = -0.75
! - final energy (eV per atom) = -4.08
&SYSTEM
  ibrav = 0, nat = 4, ntyp = 3
/
ATOMIC_SPECIES
Ca 40.08 Ca.upf
Sb 121.76 Sb.upf
Pd 106.42 Pd.upf
CELL_PARAMETERS angstrom
4.1858 0.0000 0.0000
0.0000 4.8641 0.0000
0.0000 0.0000 4.8641
ATOMIC_POSITIONS crystal
Ca 0.0000 0.0000 0.5000
Ca 0.0000 0.5000 0.0000
Sb 0.5000 0.5000 0.5000
Pd 0.5000 0.0000 0.0000

---

No. 12
! Ca2Sb2Pd3 GGA-PBE relaxed; values from VASP
! - SG = C2/m, No. 12
! - M_tot (μB per atom) = 0.000
! - formation energy without anion corrections (eV per atom) = -0.77
! - final energy (eV per atom) = -4.74
&SYSTEM
  ibrav = 0, nat = 7, ntyp = 3
/
ATOMIC_SPECIES
Ca 40.08 Ca.upf
Pd 106.42 Pd.upf
Sb 121.76 Sb.upf
CELL_PARAMETERS angstrom
4.3585 0.0000 0.0000
-2.1793 5.4817 -0.1003
0.0000 -2.6484 6.5406
ATOMIC_POSITIONS crystal
Ca 0.8668 0.7336 0.2460
Ca 0.1332 0.2664 0.7540
Pd 0.6147 0.2293 0.4358
Pd 0.3853 0.7707 0.5642
Pd 0.5000 0.0000 0.0000
Sb 0.1495 0.2990 0.2299
Sb 0.8505 0.7010 0.7701